1.
Computed, not measured: Zn2HN after structural relaxation at the PBE level of DFT.

Geometry as POSCAR:
```
Zn2HN
1.0
0.000 2.656 2.656
2.656 0.000 2.656
2.656 2.656 0.000
H Zn N
1 2 1
Direct
0.000 0.000 0.000
0.250 0.250 0.250
0.750 0.750 0.750
0.500 0.500 0.500
```

Values from the calculation:
- Fermi-level density of states (states/eV/atom) = 0.0000
- ΔE to the lowest computed polymorph (eV/atom) = 0.494
- V (Å³/cell) = 37.5

2.
Computed, not measured: Zn3HN after structural relaxation at the PBE level of DFT.

Geometry as POSCAR:
```
Zn3HN
1.0
4.122 0.000 0.000
0.000 4.122 0.000
0.000 0.000 4.122
H Zn N
1 3 1
Direct
0.500 0.500 0.500
0.000 0.500 0.000
0.000 0.000 0.500
0.500 0.000 0.000
0.000 0.000 0.000
```

Values from the calculation:
- Fermi-level density of states (states/eV/atom) = 0.2138
- ΔE to the lowest computed polymorph (eV/atom) = 0.000
- V (Å³/cell) = 70.0

3.
Computed, not measured: ZnHN2 after structural relaxation at the PBE level of DFT.

Geometry as POSCAR:
```
ZnHN2
1.0
0.516 -3.440 2.923
3.341 -2.842 1.184
2.466 -0.812 3.728
H Zn N
1 1 2
Direct
0.500 0.500 0.500
0.000 0.000 0.000
0.845 0.845 0.845
0.155 0.155 0.155
```

Values from the calculation:
- Fermi-level density of states (states/eV/atom) = 0.1574
- ΔE to the lowest computed polymorph (eV/atom) = 0.738
- V (Å³/cell) = 40.4

4.
Computed, not measured: Zr4H2N after structural relaxation at the PBE level of DFT.

Geometry as POSCAR:
```
Zr4H2N
1.0
-2.030 -2.423 5.322
-4.123 0.608 -4.577
4.411 -4.404 -2.281
Zr H N
8 4 2
Direct
0.794 0.297 0.851
0.297 0.794 0.351
0.300 0.794 0.832
0.794 0.300 0.332
0.218 0.212 0.668
0.697 0.694 0.150
0.694 0.697 0.650
0.212 0.218 0.168
0.503 0.242 0.484
0.769 0.008 0.016
0.008 0.769 0.516
0.242 0.503 0.984
0.242 0.492 0.500
0.492 0.242 0.000
```

Values from the calculation:
- Fermi-level density of states (states/eV/atom) = 0.6533
- ΔE to the lowest computed polymorph (eV/atom) = 0.017
- V (Å³/cell) = 197.8

The lowest ΔE to the lowest computed polymorph belongs to which entry?
Zn3HN

Copy entry 4 word for word.
Computed, not measured: Zr4H2N after structural relaxation at the PBE level of DFT.

Geometry as POSCAR:
```
Zr4H2N
1.0
-2.030 -2.423 5.322
-4.123 0.608 -4.577
4.411 -4.404 -2.281
Zr H N
8 4 2
Direct
0.794 0.297 0.851
0.297 0.794 0.351
0.300 0.794 0.832
0.794 0.300 0.332
0.218 0.212 0.668
0.697 0.694 0.150
0.694 0.697 0.650
0.212 0.218 0.168
0.503 0.242 0.484
0.769 0.008 0.016
0.008 0.769 0.516
0.242 0.503 0.984
0.242 0.492 0.500
0.492 0.242 0.000
```

Values from the calculation:
- Fermi-level density of states (states/eV/atom) = 0.6533
- ΔE to the lowest computed polymorph (eV/atom) = 0.017
- V (Å³/cell) = 197.8

Look up the ΔE to the lowest computed polymorph of the second one.
0.000 eV/atom

Among the records above, which one has the lowest V?
Zn2HN